Entry 1:
First-principles (PBE) data for a relaxed Sb2PtAuF crystal, as listed in Alexandria via LeMat-Bulk. Values from VASP.

Results
**Total magnetic moment**: 0.0 μB per formula unit
**ΔE_f (raw)**: 0.596 eV/atom
**Relative energy among the computed polymorphs**: 67.3 kJ per mole of atoms

Structure (Quantum ESPRESSO input):
```
&SYSTEM
  ibrav = 0, nat = 5, ntyp = 4
/
ATOMIC_SPECIES
Sb 121.76 Sb.upf
Pt 195.08 Pt.upf
Au 196.97 Au.upf
F 19.00 F.upf
ATOMIC_POSITIONS angstrom
Sb 0.0000 0.0000 2.6276
Sb 2.6276 0.0000 0.0000
Pt 0.0000 2.5495 0.0000
Au 0.0000 0.0000 0.0000
F 2.6276 2.5495 2.6276
CELL_PARAMETERS angstrom
5.2552 0.0000 0.0000
0.0000 5.0990 0.0000
0.0000 0.0000 5.2552
```

---

Entry 2:
First-principles (PBE) data for a relaxed Ba2FeAu crystal, as listed in Alexandria via LeMat-Bulk. Values from VASP.

Results
**Total magnetic moment**: 2.1 μB per formula unit
**E_form**: 0.124 eV/atom
**Relative energy among the computed polymorphs**: 12.1 kJ per mole of atoms

Structure (Quantum ESPRESSO input):
```
&SYSTEM
  ibrav = 0, nat = 4, ntyp = 3
/
ATOMIC_SPECIES
Ba 137.33 Ba.upf
Fe 55.84 Fe.upf
Au 196.97 Au.upf
ATOMIC_POSITIONS angstrom
Ba 0.0000 0.0000 4.0533
Ba 0.0000 0.0000 0.0040
Fe 1.9875 1.9875 2.0286
Au 1.9875 1.9875 6.0859
CELL_PARAMETERS angstrom
3.9750 0.0000 0.0000
0.0000 3.9750 0.0000
0.0000 0.0000 8.1145
```

---

Entry 3:
First-principles (PBE) data for a relaxed Rb3Sc3InTe8 crystal, as listed in Alexandria via LeMat-Bulk. Values from VASP.

Results
**Total magnetic moment**: 0.0 μB per formula unit
**ΔE_f (raw)**: -1.010 eV/atom

Structure (Quantum ESPRESSO input):
```
&SYSTEM
  ibrav = 0, nat = 15, ntyp = 4
/
ATOMIC_SPECIES
Te 127.60 Te.upf
In 114.82 In.upf
Rb 85.47 Rb.upf
Sc 44.96 Sc.upf
ATOMIC_POSITIONS angstrom
Te 2.1946 -1.1722 2.7041
Te 6.2655 -1.1722 2.7041
Te 4.2300 2.3649 2.6827
Te 2.0355 3.6544 6.0498
Te 0.0000 2.4643 2.6966
Te 4.2300 0.0179 6.0573
Te -2.0355 3.6544 6.0498
Te 0.0000 0.1173 6.0713
In 0.0000 -2.4416 4.3965
Rb 2.1150 3.6827 -0.0195
Rb 0.0000 0.0000 0.0000
Rb -2.1150 3.6827 -0.0195
Sc -2.1150 1.2411 4.3770
Sc 2.1150 1.2411 4.3770
Sc 4.2300 -2.4416 4.3965
CELL_PARAMETERS angstrom
8.4601 0.0000 0.0000
-4.2300 7.3653 -0.0391
0.0000 -4.8831 8.7930
```

---

- What is the formula in the first record?
  Sb2PtAuF

---

Please write out number 1 again, unchanged.
First-principles (PBE) data for a relaxed Sb2PtAuF crystal, as listed in Alexandria via LeMat-Bulk. Values from VASP.

Results
**Total magnetic moment**: 0.0 μB per formula unit
**ΔE_f (raw)**: 0.596 eV/atom
**Relative energy among the computed polymorphs**: 67.3 kJ per mole of atoms

Structure (Quantum ESPRESSO input):
```
&SYSTEM
  ibrav = 0, nat = 5, ntyp = 4
/
ATOMIC_SPECIES
Sb 121.76 Sb.upf
Pt 195.08 Pt.upf
Au 196.97 Au.upf
F 19.00 F.upf
ATOMIC_POSITIONS angstrom
Sb 0.0000 0.0000 2.6276
Sb 2.6276 0.0000 0.0000
Pt 0.0000 2.5495 0.0000
Au 0.0000 0.0000 0.0000
F 2.6276 2.5495 2.6276
CELL_PARAMETERS angstrom
5.2552 0.0000 0.0000
0.0000 5.0990 0.0000
0.0000 0.0000 5.2552
```